Entry 1:
A plane-wave DFT calculation with PBE was carried out for a geometry-optimized MgTl2RhO6 structure.

Results
Energy relative to the elements, uncorrected ... -1.064 eV/atom

The structure in CIF format:
```
data_MgTl2RhO6
_symmetry_space_group_name_H-M 'P 1'
_symmetry_Int_Tables_number 1
_cell_length_a 5.4806
_cell_length_b 5.5679
_cell_length_c 7.9421
_cell_angle_alpha 90.00
_cell_angle_beta 89.46
_cell_angle_gamma 90.00
loop_
_symmetry_equiv_pos_as_xyz
'x,y,z'
loop_
_atom_site_label
_atom_site_type_symbol
_atom_site_fract_x
_atom_site_fract_y
_atom_site_fract_z
O1 O 0.2937 0.6967 0.0568
O2 O 0.6923 0.2903 0.5654
O3 O 0.1117 0.4463 0.7595
O4 O 0.7937 0.8033 0.5568
O5 O 0.2063 0.1967 0.4432
O6 O 0.3883 0.9463 0.7405
O7 O 0.6117 0.0537 0.2595
O8 O 0.3077 0.7097 0.4346
O9 O 0.1923 0.2097 0.0654
O10 O 0.8883 0.5537 0.2405
O11 O 0.8077 0.7903 0.9346
O12 O 0.7063 0.3033 0.9432
Rh1 Rh 0.0000 0.5000 0.0000
Rh2 Rh 0.5000 0.0000 0.5000
Tl1 Tl 0.0163 0.9525 0.2548
Tl2 Tl 0.4837 0.4525 0.2452
Tl3 Tl 0.9837 0.0475 0.7452
Tl4 Tl 0.5163 0.5475 0.7548
Mg1 Mg 0.5000 0.0000 0.0000
Mg2 Mg 0.0000 0.5000 0.5000
```

Entry 2:
A plane-wave DFT calculation with PBE was carried out for a geometry-optimized SrCdIn2Ru structure.

Results
Calculated formation energy ... -135.6 meV per atom

The structure in CIF format:
```
data_SrCdIn2Ru
_symmetry_space_group_name_H-M 'P 1'
_symmetry_Int_Tables_number 1
_cell_length_a 5.1537
_cell_length_b 5.1537
_cell_length_c 5.2896
_cell_angle_alpha 90.00
_cell_angle_beta 90.00
_cell_angle_gamma 90.00
loop_
_symmetry_equiv_pos_as_xyz
'x,y,z'
loop_
_atom_site_label
_atom_site_type_symbol
_atom_site_fract_x
_atom_site_fract_y
_atom_site_fract_z
Sr1 Sr 0.5000 0.5000 0.5000
Ru1 Ru 0.0000 0.0000 0.0000
Cd1 Cd 0.0000 0.0000 0.5000
In1 In 0.5000 0.0000 0.0000
In2 In 0.0000 0.5000 0.0000
```

Entry 3:
A plane-wave DFT calculation with PBE was carried out for a geometry-optimized BeNiIr2 structure.

Results
Calculated formation energy ... -118.0 meV per atom

The structure in CIF format:
```
data_BeNiIr2
_symmetry_space_group_name_H-M 'P 1'
_symmetry_Int_Tables_number 1
_cell_length_a 3.7077
_cell_length_b 2.7062
_cell_length_c 5.2151
_cell_angle_alpha 71.50
_cell_angle_beta 90.00
_cell_angle_gamma 90.00
loop_
_symmetry_equiv_pos_as_xyz
'x,y,z'
loop_
_atom_site_label
_atom_site_type_symbol
_atom_site_fract_x
_atom_site_fract_y
_atom_site_fract_z
Be1 Be 0.5000 0.7500 0.7500
Ir1 Ir 0.0000 0.8822 0.9840
Ir2 Ir 0.0000 0.6178 0.5160
Ni1 Ni 0.5000 0.2500 0.2500
```

Entry 4:
A plane-wave DFT calculation with PBE was carried out for a geometry-optimized YbDyPd2 structure.

Results
Calculated formation energy ... -848.5 meV per atom

The structure in CIF format:
```
data_YbDyPd2
_symmetry_space_group_name_H-M 'P 1'
_symmetry_Int_Tables_number 1
_cell_length_a 4.9444
_cell_length_b 4.9444
_cell_length_c 4.9444
_cell_angle_alpha 60.00
_cell_angle_beta 60.00
_cell_angle_gamma 60.00
loop_
_symmetry_equiv_pos_as_xyz
'x,y,z'
loop_
_atom_site_label
_atom_site_type_symbol
_atom_site_fract_x
_atom_site_fract_y
_atom_site_fract_z
Pd1 Pd 0.7500 0.7500 0.7500
Pd2 Pd 0.2500 0.2500 0.2500
Dy1 Dy 0.5000 0.5000 0.5000
Yb1 Yb 0.0000 0.0000 0.0000
```

Entry 5:
A plane-wave DFT calculation with PBE was carried out for a geometry-optimized RbMg3O structure.

Results
Energy relative to the elements, uncorrected ... -0.158 eV/atom
Distance to the lowest polymorph of the same formula ... 0 meV per atom

The structure in CIF format:
```
data_RbMg3O
_symmetry_space_group_name_H-M 'P 1'
_symmetry_Int_Tables_number 1
_cell_length_a 4.9225
_cell_length_b 4.9225
_cell_length_c 4.9225
_cell_angle_alpha 90.00
_cell_angle_beta 90.00
_cell_angle_gamma 90.00
loop_
_symmetry_equiv_pos_as_xyz
'x,y,z'
loop_
_atom_site_label
_atom_site_type_symbol
_atom_site_fract_x
_atom_site_fract_y
_atom_site_fract_z
Mg1 Mg 0.0000 0.5000 0.0000
Mg2 Mg 0.5000 0.0000 0.0000
Mg3 Mg 0.0000 0.0000 0.5000
Rb1 Rb 0.5000 0.5000 0.5000
O1 O 0.0000 0.0000 0.0000
```

Entry 6:
A plane-wave DFT calculation with PBE was carried out for a geometry-optimized Hf2Si2Os structure.

Results
Energy relative to the elements, uncorrected ... -0.813 eV/atom

The structure in CIF format:
```
data_Hf2Si2Os
_symmetry_space_group_name_H-M 'P 1'
_symmetry_Int_Tables_number 1
_cell_length_a 3.8721
_cell_length_b 5.2077
_cell_length_c 5.2077
_cell_angle_alpha 60.12
_cell_angle_beta 68.18
_cell_angle_gamma 68.18
loop_
_symmetry_equiv_pos_as_xyz
'x,y,z'
loop_
_atom_site_label
_atom_site_type_symbol
_atom_site_fract_x
_atom_site_fract_y
_atom_site_fract_z
Os1 Os 0.0000 0.0000 0.0000
Hf1 Hf 0.7933 0.7067 0.7067
Hf2 Hf 0.2067 0.2933 0.2933
Si1 Si 0.5000 0.7268 0.2732
Si2 Si 0.5000 0.2732 0.7268
```

Respective M_tot values: 1.01, 0.00, 0.72, 0.22, 0.90, 0.00 μB per formula unit.